{"formula": "SnHg3Te2F6", "functional": "PBE-GGA", "state": "relaxed", "dos_at_fermi_per_ev_atom": 0.000, "e_form_raw_mev_per_atom": -1566, "rho_g_cm3": 6.65, "magnetic_moment_mub_per_fu": 0.00, "lattice_angstrom": [[7.1229, -3.6311, 0.0000], [7.1229, 3.6311, 0.0000], [-1.4557, 0.0000, 5.2610]], "species": ["Sn", "Hg", "Hg", "Hg", "Te", "Te", "F", "F", "F", "F", "F", "F"], "fractional_positions": [[0.0000, 0.0000, 0.0000], [0.0000, 0.5000, 0.0000], [0.5000, 0.0000, 0.0000], [0.5000, 0.5000, 0.5000], [0.3035, 0.3035, 0.3801], [0.6965, 0.6965, 0.6199], [0.0992, 0.0992, 0.7973], [0.1218, 0.7211, 0.7829], [0.2789, 0.8782, 0.2171], [0.7211, 0.1218, 0.7829], [0.8782, 0.2789, 0.2171], [0.9008, 0.9008, 0.2027]]}

{"formula": "NaInHPt2", "functional": "PBE-GGA", "state": "relaxed", "e_above_lowest_polymorph_ev_per_atom": 0.000, "dos_at_fermi_per_ev_atom": 0.230, "rho_g_cm3": 12.23, "magnetic_moment_mub_per_fu": 0.00, "lattice_angstrom": [[4.1002, 0.0000, 0.0000], [0.0000, 4.1002, 0.0000], [0.0000, 0.0000, 4.2713]], "species": ["Na", "In", "H", "Pt", "Pt"], "fractional_positions": [[0.0000, 0.0000, 0.0000], [0.5000, 0.5000, 0.0000], [0.0000, 0.0000, 0.5000], [0.0000, 0.5000, 0.5000], [0.5000, 0.0000, 0.5000]]}

{"formula": "BeAsPbSe2", "functional": "PBE-GGA", "state": "relaxed", "e_above_lowest_polymorph_ev_per_atom": 0.000, "dos_at_fermi_per_ev_atom": 0.275, "e_form_raw_mev_per_atom": 73, "rho_g_cm3": 6.84, "magnetic_moment_mub_per_fu": 0.00, "lattice_angstrom": [[5.0581, 0.0000, 0.0000], [0.0000, 5.0581, 0.0000], [0.0000, 0.0000, 4.2593]], "species": ["Be", "As", "Pb", "Se", "Se"], "fractional_positions": [[0.0000, 0.0000, 0.0000], [0.0000, 0.0000, 0.5000], [0.5000, 0.5000, 0.5000], [0.0000, 0.5000, 0.0000], [0.5000, 0.0000, 0.0000]]}

{"formula": "Mn2TlSi", "functional": "PBE-GGA", "state": "relaxed", "dos_at_fermi_per_ev_atom": 0.710, "e_form_raw_mev_per_atom": 248, "rho_g_cm3": 8.33, "magnetic_moment_mub_per_fu": 5.13, "lattice_angstrom": [[-1.4535, 1.7555, 6.6880], [1.4535, -1.7555, 6.6880], [1.4535, 1.7555, -6.6880]], "species": ["Mn", "Mn", "Tl", "Si"], "fractional_positions": [[0.0000, 0.0000, 0.0000], [0.8249, 0.3249, 0.5000], [0.6419, 0.6419, 0.0000], [0.3753, 0.8753, 0.5000]]}

{"formula": "Mg6Al2Ag", "functional": "PBE-GGA", "state": "relaxed", "formation_energy_mev_per_atom": -6, "e_above_lowest_polymorph_ev_per_atom": 0.054, "dos_at_fermi_per_ev_atom": 0.384, "rho_g_cm3": 2.79, "magnetic_moment_mub_per_fu": 0.00, "lattice_angstrom": [[4.4074, -2.3369, 0.0000], [4.4074, 2.3369, 0.0000], [-1.1487, 0.0000, 8.9033]], "species": ["Mg", "Mg", "Mg", "Mg", "Mg", "Mg", "Al", "Al", "Ag"], "fractional_positions": [[0.0048, 0.0048, 0.1823], [0.3317, 0.3317, 0.9424], [0.3331, 0.3331, 0.6004], [0.6669, 0.6669, 0.3996], [0.6683, 0.6683, 0.0576], [0.9952, 0.9952, 0.8177], [0.3357, 0.3357, 0.2692], [0.6643, 0.6643, 0.7308], [0.0000, 0.0000, 0.5000]]}

{"formula": "Cr3Fe", "functional": "PBE-GGA", "state": "relaxed", "formation_energy_mev_per_atom": 32, "dos_at_fermi_per_ev_atom": 0.829, "rho_g_cm3": 7.69, "magnetic_moment_mub_per_fu": 2.03, "lattice_angstrom": [[1.4365, -1.9763, 0.0000], [1.4365, 1.9763, 0.0000], [0.0000, 0.0000, 8.0609]], "species": ["Cr", "Cr", "Cr", "Fe"], "fractional_positions": [[0.0000, 0.0000, 0.0000], [0.5000, 0.5000, 0.2506], [0.5000, 0.5000, 0.7494], [0.0000, 0.0000, 0.5000]]}

{"formula": "Rb2AcIrO6", "functional": "PBE-GGA", "state": "relaxed", "dos_at_fermi_per_ev_atom": 0.711, "e_form_raw_mev_per_atom": -1572, "rho_g_cm3": 5.95, "magnetic_moment_mub_per_fu": 2.02, "lattice_angstrom": [[3.2542, 1.8788, 10.4455], [-3.2542, 1.8788, 10.4455], [0.0000, -3.7576, 10.4455]], "species": ["Rb", "Rb", "Rb", "Rb", "Ac", "Ac", "Ir", "Ir", "O", "O", "O", "O", "O", "O", "O", "O", "O", "O", "O", "O"], "fractional_positions": [[0.1340, 0.1340, 0.1340], [0.2647, 0.2647, 0.2647], [0.7353, 0.7353, 0.7353], [0.8660, 0.8660, 0.8660], [0.3987, 0.3987, 0.3987], [0.6013, 0.6013, 0.6013], [0.0000, 0.0000, 0.0000], [0.5000, 0.5000, 0.5000], [0.1744, 0.1744, 0.7583], [0.1744, 0.7583, 0.1744], [0.1889, 0.5999, 0.5999], [0.2417, 0.8256, 0.8256], [0.4001, 0.4001, 0.8111], [0.4001, 0.8111, 0.4001], [0.5999, 0.1889, 0.5999], [0.5999, 0.5999, 0.1889], [0.7583, 0.1744, 0.1744], [0.8111, 0.4001, 0.4001], [0.8256, 0.2417, 0.8256], [0.8256, 0.8256, 0.2417]]}

{"formula": "AlIrSe2", "functional": "PBE-GGA", "state": "relaxed", "dos_at_fermi_per_ev_atom": 0.633, "e_form_raw_mev_per_atom": 406, "rho_g_cm3": 8.39, "magnetic_moment_mub_per_fu": 0.00, "lattice_angstrom": [[1.4491, -2.7249, 0.0000], [1.4491, 2.7249, 0.0000], [0.0000, 0.0000, 9.4487]], "species": ["Al", "Ir", "Se", "Se"], "fractional_positions": [[0.0000, 0.0000, 0.0000], [0.0000, 0.0000, 0.5000], [0.5000, 0.5000, 0.2779], [0.5000, 0.5000, 0.7221]]}

{"formula": "Pr4NdEr3Te8", "functional": "PBE-GGA", "state": "relaxed", "dos_at_fermi_per_ev_atom": 0.672, "e_form_raw_mev_per_atom": -1352, "rho_g_cm3": 7.43, "magnetic_moment_mub_per_fu": 0.00, "lattice_angstrom": [[4.3949, 2.5374, 7.4514], [-4.3949, 2.5374, 7.4514], [0.0000, -5.0748, 7.4514]], "species": ["Pr", "Pr", "Pr", "Pr", "Nd", "Er", "Er", "Er", "Te", "Te", "Te", "Te", "Te", "Te", "Te", "Te"], "fractional_positions": [[0.0000, 0.0000, 0.0000], [0.0000, 0.5000, 0.5000], [0.5000, 0.0000, 0.5000], [0.5000, 0.5000, 0.0000], [0.5000, 0.5000, 0.5000], [0.0000, 0.0000, 0.5000], [0.0000, 0.5000, 0.0000], [0.5000, 0.0000, 0.0000], [0.2382, 0.7491, 0.7491], [0.2439, 0.2439, 0.2439], [0.2509, 0.2509, 0.7618], [0.2509, 0.7618, 0.2509], [0.7491, 0.2382, 0.7491], [0.7491, 0.7491, 0.2382], [0.7561, 0.7561, 0.7561], [0.7618, 0.2509, 0.2509]]}

{"formula": "WBr", "functional": "PBE-GGA", "state": "relaxed", "e_above_lowest_polymorph_ev_per_atom": 1.580, "dos_at_fermi_per_ev_atom": 1.458, "e_form_raw_mev_per_atom": 1662, "rho_g_cm3": 13.11, "magnetic_moment_mub_per_fu": 0.00, "lattice_angstrom": [[3.2207, 0.0000, 0.0000], [0.0000, 3.2207, 0.0000], [0.0000, 0.0000, 3.2207]], "species": ["W", "Br"], "fractional_positions": [[0.0000, 0.0000, 0.0000], [0.5000, 0.5000, 0.5000]]}

{"formula": "ZrNb2N", "functional": "PBE-GGA", "state": "relaxed", "dos_at_fermi_per_ev_atom": 0.613, "e_form_raw_mev_per_atom": -814, "rho_g_cm3": 7.72, "magnetic_moment_mub_per_fu": 0.00, "lattice_angstrom": [[3.3316, 0.0000, 0.0000], [0.0000, 3.3317, 0.0000], [-0.0081, 0.0000, 11.2791]], "species": ["Zr", "Zr", "Nb", "Nb", "Nb", "Nb", "N", "N"], "fractional_positions": [[0.2505, 0.0000, 0.0988], [0.7495, 0.5000, 0.9012], [0.2489, 0.0006, 0.7116], [0.2506, 0.0012, 0.4259], [0.7494, 0.5012, 0.5741], [0.7511, 0.5006, 0.2884], [0.2495, 0.0000, 0.9012], [0.7505, 0.5000, 0.0988]]}

{"formula": "SrTePdN2", "functional": "PBE-GGA", "state": "relaxed", "e_above_lowest_polymorph_ev_per_atom": 0.000, "dos_at_fermi_per_ev_atom": 0.473, "e_form_raw_mev_per_atom": 732, "rho_g_cm3": 5.58, "magnetic_moment_mub_per_fu": 3.00, "lattice_angstrom": [[4.3420, 0.0000, 0.0000], [0.0000, 4.3420, 0.0000], [0.0000, 0.0000, 5.5168]], "species": ["Sr", "Te", "Pd", "N", "N"], "fractional_positions": [[0.0000, 0.0000, 0.0000], [0.5000, 0.5000, 0.0000], [0.5000, 0.5000, 0.5000], [0.0000, 0.5000, 0.5000], [0.5000, 0.0000, 0.5000]]}